# CaPmCuIr, relaxed, DFT PBE
# * E above lowest polymorph: 0 meV/atom
# * DFT total energy: -5.336 eV per atom
# * DFT formation energy: -0.408 eV/atom
data_CaPmCuIr
_chemical_formula_sum 'Ca1 Pm1 Cu1 Ir1'
_symmetry_space_group_name_H-M 'P 1'
_symmetry_Int_Tables_number 1
_cell_length_a 4.0417
_cell_length_b 4.1486
_cell_length_c 5.8556
_cell_angle_alpha 90.00
_cell_angle_beta 110.19
_cell_angle_gamma 90.00
loop_
_symmetry_equiv_pos_as_xyz
'x,y,z'
loop_
_atom_site_label
_atom_site_type_symbol
_atom_site_fract_x
_atom_site_fract_y
_atom_site_fract_z
Ca1 Ca 0.1434 0.0000 0.2869
Pm1 Pm 0.8610 0.5000 0.7220
Cu1 Cu 0.5684 0.5000 0.1368
Ir1 Ir 0.4272 0.0000 0.8543